Record 1
First-principles (PBE) data for Ni4W3 after structural relaxation, as listed in Alexandria.

Cell and atoms, written as POSCAR:
```
Ni4W3
1.0
2.520 -4.364 0.000
2.520 4.364 0.000
0.000 0.000 4.559
Ni W
4 3
Cartesian
0.000 0.000 1.169
0.000 0.000 3.389
2.520 -1.455 2.279
2.520 1.455 2.279
1.260 2.182 0.000
2.520 0.000 0.000
1.260 -2.182 0.000
```

Computed properties:
DFT formation energy   35.1 kJ/mol of atoms
Space-group type   P6/mmm (191)
Distance to the lowest polymorph of the same formula   321 meV per atom

---

Record 2
First-principles (PBE) data for NiW2 after structural relaxation, as listed in Alexandria.

Cell and atoms, written as POSCAR:
```
NiW2
1.0
-0.408 2.873 3.219
-3.504 -2.013 -1.564
0.648 -3.888 3.552
Ni W
2 4
Cartesian
-2.310 -1.357 0.918
-0.954 -1.672 4.288
0.000 0.000 0.000
0.324 -1.944 1.776
-1.986 -3.300 2.694
-1.278 0.272 2.512
```

Computed properties:
DFT formation energy   12.7 kJ/mol of atoms
Space-group type   P6_3/mmc (194)
Distance to the lowest polymorph of the same formula   49 meV per atom

---

Record 3
First-principles (PBE) data for NiW3 after structural relaxation, as listed in Alexandria.

Cell and atoms, written as POSCAR:
```
NiW3
1.0
-1.815 4.263 1.454
-3.011 -2.227 -3.091
-1.245 -1.251 2.114
Ni W
1 3
Cartesian
0.000 0.000 0.000
-2.128 -1.739 -0.489
-1.530 1.506 1.784
-2.413 1.018 -0.819
```

Computed properties:
DFT formation energy   26.1 kJ/mol of atoms
Space-group type   Cmmm (65)

---

Record 4
First-principles (PBE) data for NiW5 after structural relaxation, as listed in Alexandria.

Cell and atoms, written as POSCAR:
```
NiW5
1.0
-5.239 1.233 0.966
-5.087 -1.359 1.475
-0.221 1.318 6.775
Ni W
1 5
Cartesian
-0.235 1.315 6.761
-6.248 0.285 3.316
-3.545 0.375 2.967
-9.905 0.704 6.541
-7.087 0.793 6.153
-3.085 1.224 7.151
```

Computed properties:
DFT formation energy   30.3 kJ/mol of atoms
Space-group type   Cm (8)
Distance to the lowest polymorph of the same formula   67 meV per atom

---

Record 5
First-principles (PBE) data for NiW2 after structural relaxation, as listed in Alexandria.

Cell and atoms, written as POSCAR:
```
NiW2
1.0
3.235 0.000 0.000
-1.617 4.502 -0.001
0.000 1.163 3.019
Ni W
1 2
Cartesian
0.000 0.000 0.000
0.000 3.784 2.009
1.617 1.881 1.009
```

Computed properties:
DFT formation energy   26.0 kJ/mol of atoms
Space-group type   I4/mmm (139)
Distance to the lowest polymorph of the same formula   186 meV per atom

---

Record 6
First-principles (PBE) data for Ni2W after structural relaxation, as listed in Alexandria.

Cell and atoms, written as POSCAR:
```
Ni2W
1.0
-0.517 1.272 3.858
-2.781 -2.453 -1.737
1.285 -2.059 0.851
Ni W
2 1
Cartesian
-0.630 -0.999 2.418
-1.383 -2.242 0.554
0.000 0.000 0.000
```

Computed properties:
DFT formation energy   -4.2 kJ/mol of atoms
Space-group type   P6/mmm (191)

---

Record 7
First-principles (PBE) data for Ni3W4 after structural relaxation, as listed in Alexandria.

Cell and atoms, written as POSCAR:
```
Ni3W4
1.0
2.385 -4.131 0.000
2.385 4.131 0.000
0.000 0.000 4.893
Ni W
3 4
Cartesian
1.193 2.066 0.000
2.385 0.000 0.000
1.193 -2.066 0.000
0.000 0.000 1.253
0.000 0.000 3.640
2.385 -1.377 2.446
2.385 1.377 2.446
```

Computed properties:
DFT formation energy   5.5 kJ/mol of atoms
Space-group type   P6/mmm (191)
Distance to the lowest polymorph of the same formula   0 meV per atom

---

Record 8
First-principles (PBE) data for Ni2W after structural relaxation, as listed in Alexandria.

Cell and atoms, written as POSCAR:
```
Ni2W
1.0
1.332 4.712 0.030
-1.332 4.712 0.030
0.000 1.816 6.029
Ni W
4 2
Cartesian
0.000 3.409 5.279
0.000 7.830 0.810
0.000 2.228 2.775
0.000 9.011 3.314
0.000 5.298 1.310
0.000 5.941 4.779
```

Computed properties:
DFT formation energy   1.0 kJ/mol of atoms
Space-group type   C2/m (12)

---

Record 9
First-principles (PBE) data for Ni6W7 after structural relaxation, as listed in Alexandria.

Cell and atoms, written as POSCAR:
```
Ni6W7
1.0
9.100 -0.007 -0.004
7.642 4.941 -0.004
7.642 2.252 4.398
Ni W
6 7
Cartesian
23.284 6.862 4.191
1.101 0.324 0.198
20.807 6.132 3.745
3.578 1.054 0.644
16.227 4.782 2.921
8.158 2.404 1.468
14.678 2.963 1.810
13.939 4.108 4.041
13.939 5.471 1.810
9.707 4.223 2.579
10.445 1.716 2.579
10.445 3.078 0.349
12.192 3.593 2.195
```

Computed properties:
DFT formation energy   51.9 kJ/mol of atoms
Space-group type   R-3m (166)

---

Record 10
First-principles (PBE) data for Ni2W after structural relaxation, as listed in Alexandria.

Cell and atoms, written as POSCAR:
```
Ni2W
1.0
2.095 -3.629 0.000
2.095 3.629 0.000
0.000 0.000 5.009
Ni W
4 2
Cartesian
0.000 0.000 0.000
0.000 0.000 2.505
2.095 1.210 1.252
2.095 -1.210 3.757
2.095 1.210 3.757
2.095 -1.210 1.252
```

Computed properties:
DFT formation energy   15.4 kJ/mol of atoms
Space-group type   P6_3/mmc (194)

---

Record 11
First-principles (PBE) data for NiW3 after structural relaxation, as listed in Alexandria.

Cell and atoms, written as POSCAR:
```
NiW3
1.0
4.471 0.000 0.000
0.000 4.900 0.000
0.000 0.000 5.484
Ni W
2 6
Cartesian
0.000 1.614 0.000
2.235 3.286 2.742
2.235 3.166 0.000
0.000 1.734 2.742
0.000 4.125 1.318
0.000 4.125 4.166
2.235 0.775 4.060
2.235 0.775 1.424
```

Computed properties:
DFT formation energy   23.6 kJ/mol of atoms
Space-group type   Pmmn (59)

---

Record 12
First-principles (PBE) data for Ni2W after structural relaxation, as listed in Alexandria.

Cell and atoms, written as POSCAR:
```
Ni2W
1.0
1.292 -6.951 0.000
1.292 6.951 0.000
0.000 0.000 4.324
Ni W
4 2
Cartesian
1.292 1.518 1.081
1.292 -1.518 3.243
1.292 -6.297 3.243
1.292 6.297 1.081
1.292 -2.862 1.081
1.292 2.862 3.243
```

Computed properties:
DFT formation energy   12.3 kJ/mol of atoms
Space-group type   Cmcm (63)

---

The calculation returns the following density values, one per record and in order: 13.02; 16.41; 16.74; 17.32; 16.10; 13.39; 15.70; 13.25; 13.73; 13.14; 16.87; 12.88 Mg/m³.